FePtBr2 | the Alexandria database | GGA-PBEsol | optimized geometry; electronic total energy = -0.30864 Ry per atom; calculated volume = 71.0 Å³/cell; space group = Fm-3m (225); energy relative to the elements, uncorrected = 0.718 eV/atom
1.0
-2.4054 2.8784 -2.7462
-2.9536 -1.7203 -3.1511
-4.5839 0.4938 0.5976
Fe Pt Br
1 1 2
direct
0.0000 0.0000 0.0000
0.5000 0.5000 0.5000
0.7500 0.7500 0.7500
0.2500 0.2500 0.2500